# 1
A relaxed structure of VNiB2. Source: the Alexandria database, functional PBE-GGA.

Energy of formation = -242 meV per atom
SG = R-3m (166)

Structure (POSCAR):
```
VNiB2
1.0
1.6573 0.9568 3.7562
-1.6573 0.9568 3.7562
0.0000 -1.9137 3.7562
V Ni B
1 1 2
Cartesian
0.0000 0.0000 0.0000
0.0000 0.0000 5.6343
0.0000 0.0000 2.4068
0.0000 0.0000 8.8617
```



# 2
A relaxed structure of V4Ni2B. Source: the Alexandria database, functional PBE-GGA.

Energy of formation = 195 meV per atom
SG = I4/mmm (139)

Structure (POSCAR):
```
V4Ni2B
1.0
-1.9798 1.9798 5.8519
1.9798 -1.9798 5.8519
1.9798 1.9798 -5.8519
V Ni B
4 2 1
Cartesian
1.9798 0.0000 0.0000
0.0000 0.0000 2.0909
0.0000 1.9798 0.0000
0.0000 0.0000 9.6129
0.0000 0.0000 4.3370
0.0000 0.0000 7.3668
0.0000 0.0000 0.0000
```



# 3
A relaxed structure of VNiB3. Source: the Alexandria database, functional PBE-GGA.

Energy of formation = 912 meV per atom
SG = Pm-3m (221)

Structure (POSCAR):
```
VNiB3
1.0
3.6914 0.0000 0.0000
0.0000 3.6914 0.0000
0.0000 0.0000 3.6914
V Ni B
1 1 3
Cartesian
0.0000 0.0000 0.0000
1.8457 1.8457 1.8457
0.0000 1.8457 1.8457
1.8457 0.0000 1.8457
1.8457 1.8457 0.0000
```



# 4
A relaxed structure of VNiB2. Source: the Alexandria database, functional PBE-GGA.

Energy of formation = 116 meV per atom
SG = Fm-3m (225)

Structure (POSCAR):
```
VNiB2
1.0
0.0000 2.5982 2.5982
2.5982 0.0000 2.5982
2.5982 2.5982 0.0000
V Ni B
1 1 2
Cartesian
0.0000 0.0000 0.0000
2.5982 2.5982 2.5982
1.2991 1.2991 1.2991
3.8973 3.8973 3.8973
```



# 5
A relaxed structure of VNi2B2. Source: the Alexandria database, functional PBE-GGA.

Energy of formation = -124 meV per atom
SG = P4/mbm (127)

Structure (POSCAR):
```
VNi2B2
1.0
6.0914 0.0000 0.0000
0.0000 6.0914 0.0000
0.0000 0.0000 2.4371
V Ni B
2 4 4
Cartesian
0.0000 0.0000 0.0000
3.0457 3.0457 0.0000
0.8896 2.1561 1.2185
2.1561 5.2018 1.2185
3.9353 0.8896 1.2185
5.2018 3.9353 1.2185
0.9263 3.9721 0.0000
2.1194 0.9263 0.0000
3.9721 5.1651 0.0000
5.1651 2.1194 0.0000
```



# 6
A relaxed structure of VNiB4. Source: the Alexandria database, functional PBE-GGA.

Energy of formation = -179 meV per atom
SG = Pbam (55)

Structure (POSCAR):
```
VNiB4
1.0
5.8542 0.0000 0.0000
0.0000 10.8640 0.0000
0.0000 0.0000 3.0497
V Ni B
4 4 16
Cartesian
0.5577 1.4688 0.0000
2.3694 6.9008 0.0000
3.4848 3.9632 0.0000
5.2965 9.3952 0.0000
0.8029 4.4633 0.0000
2.1242 9.8953 0.0000
3.7299 0.9687 0.0000
5.0513 6.4007 0.0000
0.0223 7.6322 1.5249
0.7069 6.0485 1.5249
0.7759 10.5557 1.5249
1.1956 8.7942 1.5249
1.7315 3.3622 1.5249
2.1512 5.1237 1.5249
2.2201 0.6165 1.5249
2.9048 2.2002 1.5249
2.9494 8.6638 1.5249
3.6340 10.2475 1.5249
3.7030 5.7403 1.5249
4.1226 7.5018 1.5249
4.6586 2.0698 1.5249
5.0782 0.3083 1.5249
5.1472 4.8155 1.5249
5.8319 3.2318 1.5249
```



# 7
A relaxed structure of NiB3W. Source: the Alexandria database, functional PBE-GGA.

Energy above the most stable polymorph in this dataset = 0.354 eV/atom
Energy of formation = 1584 meV per atom
SG = Pm-3m (221)

Structure (POSCAR):
```
NiB3W
1.0
4.1253 0.0000 0.0000
0.0000 4.1253 0.0000
0.0000 0.0000 4.1253
Ni B W
1 3 1
Cartesian
0.0000 0.0000 0.0000
0.0000 2.0626 2.0626
2.0626 0.0000 2.0626
2.0626 2.0626 0.0000
2.0626 2.0626 2.0626
```



# 8
A relaxed structure of NiB3W3. Source: the Alexandria database, functional PBE-GGA.

Energy of formation = -424 meV per atom
SG = Cmcm (63)

Structure (POSCAR):
```
NiB3W3
1.0
1.6061 -4.2322 0.0000
1.6061 4.2322 0.0000
0.0000 0.0000 10.8010
Ni B W
2 6 6
Cartesian
0.0000 0.0000 0.0000
0.0000 0.0000 5.4005
1.6061 1.7688 8.1008
1.6061 0.7532 6.5198
1.6061 0.7532 9.6817
1.6061 -0.7532 1.1193
1.6061 -0.7532 4.2812
1.6061 -1.7688 2.7003
1.6061 4.2135 2.7003
1.6061 1.7941 1.1724
1.6061 1.7941 4.2281
1.6061 -1.7941 6.5729
1.6061 -1.7941 9.6286
1.6061 -4.2135 8.1008
```



# 9
A relaxed structure of Ni3B2W2. Source: the Alexandria database, functional PBE-GGA.

Energy of formation = -207 meV per atom
SG = Cmmm (65)

Structure (POSCAR):
```
Ni3B2W2
1.0
1.5178 -7.8100 0.0000
1.5178 7.8100 0.0000
0.0000 0.0000 3.1801
Ni B W
3 2 2
Cartesian
0.0000 0.0000 0.0000
1.5178 1.2203 1.5900
1.5178 -1.2203 1.5900
1.5178 3.4214 1.5900
1.5178 -3.4214 1.5900
1.5178 5.1380 0.0000
1.5178 -5.1380 0.0000
```



# 10
A relaxed structure of NiBW4. Source: the Alexandria database, functional PBE-GGA.

Energy of formation = 153 meV per atom
SG = I4/mcm (140)

Structure (POSCAR):
```
NiBW4
1.0
-2.8452 2.8452 5.1180
2.8452 -2.8452 5.1180
2.8452 2.8452 -5.1180
Ni B W
2 2 8
Cartesian
0.0000 0.0000 0.0000
0.0000 0.0000 5.1180
0.0000 0.0000 2.5590
0.0000 0.0000 7.6769
3.7951 0.9499 -1.3856
0.9499 1.8953 -1.3856
3.7951 0.9499 1.3856
0.9499 1.8953 1.3856
1.8953 0.9499 3.7324
-0.9499 1.8953 3.7324
1.8953 0.9499 6.5035
-0.9499 1.8953 6.5035
```



# 11
A relaxed structure of Ni2BW. Source: the Alexandria database, functional PBE-GGA.

Energy of formation = 288 meV per atom
SG = I-42d (122)

Structure (POSCAR):
```
Ni2BW
1.0
-1.6377 1.6377 8.5539
1.6377 -1.6377 8.5539
1.6377 1.6377 -8.5539
Ni B W
4 2 2
Cartesian
2.4565 0.7578 -2.1385
0.7578 0.8188 2.1385
-0.8188 0.8799 6.4154
0.8799 0.8188 10.6923
0.0000 0.0000 0.0000
0.0000 1.6377 4.2769
1.6377 0.0000 4.2769
0.0000 0.0000 8.5539
```



# 12
A relaxed structure of Ni21B6W2. Source: the Alexandria database, functional PBE-GGA.

Energy of formation = -234 meV per atom
SG = Fm-3m (225)

Structure (POSCAR):
```
Ni21B6W2
1.0
0.0000 5.2484 5.2484
5.2484 0.0000 5.2484
5.2484 5.2484 0.0000
Ni B W
21 6 2
Cartesian
0.0000 0.0000 0.0000
1.7908 1.7908 0.0000
3.4575 3.4575 0.0000
1.7908 0.0000 1.7908
5.2484 3.4575 1.7908
3.4575 0.0000 3.4575
5.2484 1.7908 3.4575
6.4725 4.0243 4.0243
0.0000 1.7908 1.7908
3.4575 5.2484 1.7908
3.4575 1.7908 5.2484
4.0243 4.0243 4.0243
6.4725 6.4725 4.0243
6.4725 4.0243 6.4725
4.0243 6.4725 4.0243
4.0243 4.0243 6.4725
6.4725 6.4725 6.4725
0.0000 3.4575 3.4575
1.7908 5.2484 3.4575
1.7908 3.4575 5.2484
4.0243 6.4725 6.4725
5.2484 5.2484 2.8036
5.2484 2.8036 5.2484
7.6932 5.2484 5.2484
2.8036 5.2484 5.2484
5.2484 7.6932 5.2484
5.2484 5.2484 7.6932
2.6242 2.6242 2.6242
7.8726 7.8726 7.8726
```



The highest energy of formation belongs to which entry?
NiB3W



Which formula does entry 2 have?
V4Ni2B